First-principles (PBE+U) data for a relaxed BaTl2NiO crystal, as listed in Alexandria.

Unit cell a=4.833 b=4.833 c=5.941 alpha=90.00 beta=90.00 gamma=90.00
Element x y z (fractional)
Ba: 0.000 0.000 0.000
Tl: 0.000 0.500 0.500
Tl: 0.500 0.000 0.500
Ni: 0.000 0.000 0.500
O: 0.500 0.500 0.000

Total magnetic moment (Bohr magnetons per cell): 0.00
Energy (eV/cell): -13.98
ρ (Mg/m³): 7.43